# Ac6SnIr

An optimized crystal structure of Ac6SnIr (PBE, the Alexandria database).

Lattice parameters (Å, degrees): 8.357 11.346 7.263 90.00 103.59 90.00
Space group C2/m (No. 12)
Asymmetric unit:
1 Ac 0.140 0.180 0.279
2 Ac 0.212 0.500 0.154
3 Sn 0.000 0.500 0.500
4 Ir 0.000 0.000 0.000

Calculated values
magnetic moment: 0.00 Bohr magnetons per cell
E_tot: -4.96 eV per atom
DOS(E_F): 14.38 states/eV per cell

# Ac8Sn3Ir2

An optimized crystal structure of Ac8Sn3Ir2 (PBE, the Alexandria database).

Lattice parameters (Å, degrees): 7.4088 7.4088 31.8339 90.00 90.00 120.00
Space group R-3m (No. 166, hexagonal axes)
Asymmetric unit:
1 Ac 0.0000 0.0000 0.1985
2 Ac 0.0098 0.5049 0.2752
3 Sn 0.0000 0.0000 0.3017
4 Sn 0.0000 0.0000 0.5000
5 Ir 0.0000 0.0000 0.1124

Calculated values
magnetic moment: 0.00 Bohr magnetons per cell
E_tot: -5.06 eV per atom
DOS(E_F): 41.44 states/eV per cell

# AcSn12Ir4

An optimized crystal structure of AcSn12Ir4 (PBE, the Alexandria database).

Lattice parameters (Å, degrees): 9.508 9.508 9.508 90.00 90.00 90.00
Space group Im-3 (No. 204)
Asymmetric unit:
1 Ac 0.000 0.000 0.000
2 Sn 0.000 0.342 0.162
3 Ir 0.250 0.250 0.250

Calculated values
magnetic moment: 0.00 Bohr magnetons per cell
E_tot: -5.40 eV per atom
DOS(E_F): 23.95 states/eV per cell

E_tot of number 3 (AcSn12Ir4)? -5.40 eV per atom

Please write out number 3 again, unchanged.
# AcSn12Ir4

An optimized crystal structure of AcSn12Ir4 (PBE, the Alexandria database).

Lattice parameters (Å, degrees): 9.508 9.508 9.508 90.00 90.00 90.00
Space group Im-3 (No. 204)
Asymmetric unit:
1 Ac 0.000 0.000 0.000
2 Sn 0.000 0.342 0.162
3 Ir 0.250 0.250 0.250

Calculated values
magnetic moment: 0.00 Bohr magnetons per cell
E_tot: -5.40 eV per atom
DOS(E_F): 23.95 states/eV per cell